1.
Computed, not measured: a relaxed PmEr3Tm12 crystal at the PBE-GGA level of DFT.

The structure in CIF format:
```
data_PmEr3Tm12
_chemical_formula_sum 'Pm1 Er3 Tm12'
_cell_length_a 5.782
_cell_length_b 5.782
_cell_length_c 14.709
_cell_angle_alpha 90.00
_cell_angle_beta 90.00
_cell_angle_gamma 90.00
_space_group_name_H-M_alt 'P 1'
_space_group_IT_number 1
_space_group_name_Hall 'P 1'
loop_
_atom_site_label
_atom_site_type_symbol
_atom_site_fract_x
_atom_site_fract_y
_atom_site_fract_z
Er1 Er 0.000 0.000 0.251
Er2 Er 0.000 0.000 0.500
Er3 Er 0.000 0.000 0.749
Tm1 Tm 0.500 0.000 0.128
Tm2 Tm 0.500 0.000 0.872
Tm3 Tm 0.000 0.500 0.624
Tm4 Tm 0.500 0.000 0.376
Tm5 Tm 0.500 0.500 0.500
Tm6 Tm 0.000 0.500 0.128
Tm7 Tm 0.500 0.000 0.624
Tm8 Tm 0.500 0.500 0.750
Tm9 Tm 0.000 0.500 0.376
Tm10 Tm 0.500 0.500 0.000
Tm11 Tm 0.000 0.500 0.872
Tm12 Tm 0.500 0.500 0.250
Pm1 Pm 0.000 0.000 0.000
```

Summary:
Total magnetic moment (μB/f.u.): 0.0
V (Å³/cell): 492
Space group: P4/mmm (123)
ΔE_f (eV per atom): 0.13


2.
Computed, not measured: a relaxed Pm12Er2Tm5 crystal at the PBE-GGA level of DFT.

The structure in CIF format:
```
data_Pm12Er2Tm5
_chemical_formula_sum 'Pm12 Er2 Tm5'
_cell_length_a 7.064
_cell_length_b 11.641
_cell_length_c 8.694
_cell_angle_alpha 70.89
_cell_angle_beta 90.00
_cell_angle_gamma 107.66
_space_group_name_H-M_alt 'P 1'
_space_group_IT_number 1
_space_group_name_Hall 'P 1'
loop_
_atom_site_label
_atom_site_type_symbol
_atom_site_fract_x
_atom_site_fract_y
_atom_site_fract_z
Pm1 Pm 0.856 0.713 0.063
Pm2 Pm 0.052 0.598 0.794
Pm3 Pm 0.546 0.598 0.794
Pm4 Pm 0.948 0.402 0.206
Pm5 Pm 0.150 0.787 0.385
Pm6 Pm 0.144 0.287 0.937
Pm7 Pm 0.850 0.213 0.615
Pm8 Pm 0.454 0.402 0.206
Pm9 Pm 0.548 0.096 0.306
Pm10 Pm 0.452 0.904 0.694
Pm11 Pm 0.362 0.213 0.615
Pm12 Pm 0.638 0.787 0.385
Tm1 Tm 0.650 0.300 0.904
Tm2 Tm 0.249 0.499 0.507
Tm3 Tm 0.000 0.000 0.500
Tm4 Tm 0.350 0.700 0.096
Tm5 Tm 0.751 0.501 0.493
Er1 Er 0.743 0.000 0.000
Er2 Er 0.257 0.000 0.000
```

Summary:
Total magnetic moment (μB/f.u.): 0.0
E above lowest polymorph (meV per atom): 35
V (Å³/cell): 640
Space group: C2/m (12)
ΔE_f (eV per atom): 0.14


3.
Computed, not measured: a relaxed Pm12Er5Tm2 crystal at the PBE-GGA level of DFT.

The structure in CIF format:
```
data_Pm12Er5Tm2
_chemical_formula_sum 'Pm12 Er5 Tm2'
_cell_length_a 9.237
_cell_length_b 12.472
_cell_length_c 8.675
_cell_angle_alpha 132.65
_cell_angle_beta 90.00
_cell_angle_gamma 111.74
_space_group_name_H-M_alt 'P 1'
_space_group_IT_number 1
_space_group_name_Hall 'P 1'
loop_
_atom_site_label
_atom_site_type_symbol
_atom_site_fract_x
_atom_site_fract_y
_atom_site_fract_z
Tm1 Tm 0.328 0.000 0.000
Tm2 Tm 0.672 0.000 0.000
Er1 Er 0.231 0.462 0.893
Er2 Er 0.300 0.600 0.623
Er3 Er 0.000 0.000 0.500
Er4 Er 0.769 0.538 0.107
Er5 Er 0.700 0.400 0.377
Pm1 Pm 0.561 0.123 0.782
Pm2 Pm 0.914 0.828 0.713
Pm3 Pm 0.823 0.255 0.579
Pm4 Pm 0.431 0.255 0.579
Pm5 Pm 0.335 0.305 0.068
Pm6 Pm 0.665 0.695 0.932
Pm7 Pm 0.030 0.695 0.932
Pm8 Pm 0.970 0.305 0.068
Pm9 Pm 0.177 0.745 0.421
Pm10 Pm 0.086 0.172 0.287
Pm11 Pm 0.439 0.877 0.218
Pm12 Pm 0.569 0.745 0.421
```

Summary:
Total magnetic moment (μB/f.u.): 0.0
E above lowest polymorph (meV per atom): 0
V (Å³/cell): 635
Space group: C2/m (12)
ΔE_f (eV per atom): 0.12


4.
Computed, not measured: a relaxed Pm12ErTm2 crystal at the PBE-GGA level of DFT.

The structure in CIF format:
```
data_Pm12ErTm2
_chemical_formula_sum 'Pm24 Er2 Tm4'
_cell_length_a 6.500
_cell_length_b 6.500
_cell_length_c 25.406
_cell_angle_alpha 90.00
_cell_angle_beta 90.00
_cell_angle_gamma 90.00
_space_group_name_H-M_alt 'P 1'
_space_group_IT_number 1
_space_group_name_Hall 'P 1'
loop_
_atom_site_label
_atom_site_type_symbol
_atom_site_fract_x
_atom_site_fract_y
_atom_site_fract_z
Pm1 Pm 0.168 0.668 0.562
Pm2 Pm 0.817 0.317 0.886
Pm3 Pm 0.500 0.500 0.215
Pm4 Pm 0.683 0.183 0.114
Pm5 Pm 0.183 0.317 0.114
Pm6 Pm 0.000 0.000 0.663
Pm7 Pm 0.000 0.000 0.785
Pm8 Pm 0.000 0.000 0.337
Pm9 Pm 0.668 0.168 0.438
Pm10 Pm 0.683 0.817 0.886
Pm11 Pm 0.832 0.332 0.562
Pm12 Pm 0.317 0.817 0.114
Pm13 Pm 0.317 0.183 0.886
Pm14 Pm 0.000 0.000 0.215
Pm15 Pm 0.332 0.832 0.438
Pm16 Pm 0.817 0.683 0.114
Pm17 Pm 0.183 0.683 0.886
Pm18 Pm 0.500 0.500 0.337
Pm19 Pm 0.332 0.168 0.562
Pm20 Pm 0.668 0.832 0.562
Pm21 Pm 0.832 0.668 0.438
Pm22 Pm 0.500 0.500 0.785
Pm23 Pm 0.168 0.332 0.438
Pm24 Pm 0.500 0.500 0.663
Er1 Er 0.000 0.500 0.000
Er2 Er 0.500 0.000 0.000
Tm1 Tm 0.500 0.000 0.726
Tm2 Tm 0.000 0.500 0.274
Tm3 Tm 0.500 0.000 0.274
Tm4 Tm 0.000 0.500 0.726
```

Summary:
Total magnetic moment (μB/f.u.): 0.0
V (Å³/cell): 1073
Space group: P4/nbm (125)
ΔE_f (eV per atom): 0.33